No. 1
DFT (PBE) results for a relaxed structure of Pr2TmMg.

Summary:
Distance to the lowest polymorph of the same formula: 73 meV/atom
D(E_F): 1.21 states/eV/atom
M_tot: 0.000 Bohr magnetons per cell
SG: Cm
E_form: 0.182 eV/f.u.

Geometry as extended XYZ:
```
4
Lattice="-2.3277 -2.6830 0.3393 -0.0163 -1.9775 2.9701 -8.4375 5.7113 5.8815" Properties=species:S:1:pos:R:3 pbc="T T T"
Mg -5.3929 0.5279 4.5966
Pr -2.7129 0.2777 2.3090
Pr -6.5091 3.8838 4.6773
Tm -9.9951 2.5983 8.0849
```

---

No. 2
DFT (PBE) results for a relaxed structure of BaHPt.

Summary:
Distance to the lowest polymorph of the same formula: 0 meV/atom
D(E_F): 0.25 states/eV/atom
M_tot: 0.000 Bohr magnetons per cell
SG: Cm

Geometry as extended XYZ:
```
12
Lattice="-5.6403 0.8936 -3.7271 2.0049 -5.6711 -3.2136 -5.7484 -6.8088 -1.4446" Properties=species:S:1:pos:R:3 pbc="T T T"
Pt -10.0036 -4.9343 -5.0680
Pt 0.4248 -3.9426 -2.0385
Pt -6.4369 -8.4857 -4.4167
Pt -3.1587 -0.8650 -2.2793
H -4.8454 -4.4933 -5.0220
H -7.2176 -9.6105 -7.1948
H -2.6896 -6.3423 -4.8772
H -5.0927 -6.7690 -2.5090
Ba -2.7075 -4.0628 -3.4275
Ba -3.1031 -8.3794 -3.2430
Ba -4.5954 -6.5244 -6.7646
Ba -6.9189 -5.1036 -3.4997
```

---

No. 3
DFT (PBE) results for a relaxed structure of SrMgAlCd.

Summary:
D(E_F): 0.64 states/eV/atom
M_tot: 0.000 Bohr magnetons per cell
SG: F-43m
E_form: -0.486 eV/f.u.

Geometry as extended XYZ:
```
4
Lattice="5.2451 0.0000 0.0000 2.6226 4.5424 0.0000 2.6226 1.5141 4.2826" Properties=species:S:1:pos:R:3 pbc="T T T"
Mg 5.2451 3.0283 2.1413
Cd 7.8677 4.5424 3.2120
Al 2.6226 1.5141 1.0707
Sr 0.0000 0.0000 0.0000
```

---

No. 4
DFT (PBE) results for a relaxed structure of Li6Ag2Ge.

Summary:
Distance to the lowest polymorph of the same formula: 0 meV/atom
D(E_F): 0.35 states/eV/atom
M_tot: 0.000 Bohr magnetons per cell
SG: R-3m
E_form: -2.109 eV/f.u.

Geometry as extended XYZ:
```
9
Lattice="-2.1463 -3.3806 3.3496 4.7973 -0.3251 2.0367 -1.3630 4.2515 2.7084" Properties=species:S:1:pos:R:3 pbc="T T T"
Li 0.3812 -2.2849 4.2617
Li 2.9711 1.2971 3.6079
Li -1.6831 -0.7513 4.4868
Li -1.4211 1.8071 4.2725
Li 2.7091 -1.2613 3.8222
Li 0.9068 2.8307 3.8330
Ge 0.0000 0.0000 0.0000
Ag 0.8606 0.3640 5.4129
Ag 0.4275 0.1818 2.6818
```

---

Repeat the first record exactly.
DFT (PBE) results for a relaxed structure of Pr2TmMg.

Summary:
Distance to the lowest polymorph of the same formula: 73 meV/atom
D(E_F): 1.21 states/eV/atom
M_tot: 0.000 Bohr magnetons per cell
SG: Cm
E_form: 0.182 eV/f.u.

Geometry as extended XYZ:
```
4
Lattice="-2.3277 -2.6830 0.3393 -0.0163 -1.9775 2.9701 -8.4375 5.7113 5.8815" Properties=species:S:1:pos:R:3 pbc="T T T"
Mg -5.3929 0.5279 4.5966
Pr -2.7129 0.2777 2.3090
Pr -6.5091 3.8838 4.6773
Tm -9.9951 2.5983 8.0849
```

---

- Which formula does entry 4 have?
  Li6Ag2Ge